VASP calculation (GGA-PBE) on NbSiTeI2 after structural relaxation.

Lattice parameters (Å, degrees): 5.390 5.390 5.442 90.00 90.00 90.00
Each line ends with the local moment (μB).
Atoms (fractional coordinates):
I (0.000, 0.500, 0.000)  -0.04
I (0.500, 0.000, 0.000)  -0.04
Nb (0.500, 0.500, 0.500)  2.80
Te (0.000, 0.000, 0.500)  -0.13
Si (0.000, 0.000, 0.000)  0.01

ΔE to the lowest computed polymorph = 281 meV/atom
Size of the total moment = 3.3 μB/f.u.
Formation energy from raw total energies = 4.5 eV per formula unit